#one
A relaxed structure of Cd2GaSb2, computed with PBE.

abc: 7.857 7.857 7.857
angles: 147.51 147.51 46.61
Sites, in units of the cell vectors:
Cd  0.250  0.750  0.500
Cd  0.750  0.250  0.500
Ga  0.000  0.000  0.000
Sb  0.392  0.392  0.000
Sb  0.608  0.608  0.000

Values from the calculation:
**Total moment**: 0.00 Bohr magnetons per cell

***

#two
A relaxed structure of Cd2GaSb2, computed with PBE.

abc: 8.769 8.769 3.430
angles: 90.00 90.00 90.00
Sites, in units of the cell vectors:
Cd  0.132  0.368  0.000
Cd  0.368  0.868  0.000
Cd  0.632  0.132  0.000
Cd  0.868  0.632  0.000
Ga  0.000  0.000  0.500
Ga  0.500  0.500  0.500
Sb  0.168  0.668  0.500
Sb  0.332  0.168  0.500
Sb  0.668  0.832  0.500
Sb  0.832  0.332  0.500

Values from the calculation:
**Total moment**: 0.00 Bohr magnetons per cell

***

Going by the energies, #one is most stable and the next is 22 meV/atom up.

***

#one
A relaxed structure of Cd3GaSb, computed with PBE.

abc: 5.181 5.181 5.181
angles: 90.00 90.00 90.00
Sites, in units of the cell vectors:
Cd  0.000  0.000  0.500
Cd  0.000  0.500  0.000
Cd  0.500  0.000  0.000
Ga  0.000  0.000  0.000
Sb  0.500  0.500  0.500

Values from the calculation:
**Total moment**: 0.00 Bohr magnetons per cell

***

#two
A relaxed structure of Cd3GaSb, computed with PBE.

abc: 5.609 5.609 5.609
angles: 90.00 90.00 90.00
Sites, in units of the cell vectors:
Cd  0.000  0.000  0.500
Cd  0.000  0.500  0.000
Cd  0.500  0.000  0.000
Ga  0.500  0.500  0.500
Sb  0.000  0.000  0.000

Values from the calculation:
**Total moment**: 0.00 Bohr magnetons per cell

***

Going by the energies, #one is most stable and the next is 116 meV/atom up.

***

#one
A relaxed structure of CdGaSb3, computed with PBE.

abc: 5.565 5.565 5.565
angles: 90.00 90.00 90.00
Sites, in units of the cell vectors:
Cd  0.000  0.000  0.000
Ga  0.500  0.500  0.500
Sb  0.000  0.000  0.500
Sb  0.000  0.500  0.000
Sb  0.500  0.000  0.000

Values from the calculation:
**Total moment**: 0.00 Bohr magnetons per cell

***

#two
A relaxed structure of CdGaSb3, computed with PBE.

abc: 5.350 5.350 5.350
angles: 90.00 90.00 90.00
Sites, in units of the cell vectors:
Cd  0.000  0.000  0.000
Ga  0.500  0.500  0.500
Sb  0.000  0.500  0.500
Sb  0.500  0.000  0.500
Sb  0.500  0.500  0.000

Values from the calculation:
**Total moment**: 0.00 Bohr magnetons per cell

***

Going by the energies, #two is most stable and the next is 145 meV/atom up.

***

#one
A relaxed structure of ScCd2Ga2, computed with PBE.

abc: 7.441 7.441 3.804
angles: 90.00 90.00 90.00
Sites, in units of the cell vectors:
Sc  0.000  0.000  0.000
Sc  0.500  0.500  0.000
Cd  0.177  0.323  0.500
Cd  0.323  0.823  0.500
Cd  0.677  0.177  0.500
Cd  0.823  0.677  0.500
Ga  0.125  0.625  0.000
Ga  0.375  0.125  0.000
Ga  0.625  0.875  0.000
Ga  0.875  0.375  0.000

Values from the calculation:
**Total moment**: 0.00 Bohr magnetons per cell

***

#two
A relaxed structure of ScCd2Ga2, computed with PBE.

abc: 8.004 8.004 3.281
angles: 90.00 90.00 90.00
Sites, in units of the cell vectors:
Sc  0.000  0.000  0.000
Sc  0.500  0.500  0.000
Cd  0.127  0.373  0.000
Cd  0.373  0.873  0.000
Cd  0.627  0.127  0.000
Cd  0.873  0.627  0.000
Ga  0.176  0.676  0.500
Ga  0.324  0.176  0.500
Ga  0.676  0.824  0.500
Ga  0.824  0.324  0.500

Values from the calculation:
**Total moment**: 1.00 Bohr magnetons per cell

***

#three
A relaxed structure of ScCd2Ga2, computed with PBE.

abc: 6.550 6.550 6.550
angles: 142.55 142.55 54.00
Sites, in units of the cell vectors:
Sc  0.000  0.000  0.000
Cd  0.250  0.750  0.500
Cd  0.750  0.250  0.500
Ga  0.399  0.399  0.000
Ga  0.601  0.601  0.000

Values from the calculation:
**Total moment**: 0.00 Bohr magnetons per cell

***

Going by the energies, #three is most stable and the next is 57 meV/atom up.

***

#one
A relaxed structure of ScCdGa3, computed with PBE.

abc: 5.046 5.046 5.046
angles: 90.00 90.00 90.00
Sites, in units of the cell vectors:
Sc  0.000  0.000  0.000
Cd  0.500  0.500  0.500
Ga  0.000  0.500  0.500
Ga  0.500  0.000  0.500
Ga  0.500  0.500  0.000

Values from the calculation:
**Total moment**: 0.00 Bohr magnetons per cell

***

#two
A relaxed structure of ScCdGa3, computed with PBE.

abc: 5.276 5.276 5.276
angles: 90.00 90.00 90.00
Sites, in units of the cell vectors:
Sc  0.000  0.000  0.000
Cd  0.500  0.500  0.500
Ga  0.000  0.000  0.500
Ga  0.000  0.500  0.000
Ga  0.500  0.000  0.000

Values from the calculation:
**Total moment**: 0.00 Bohr magnetons per cell

***

Going by the energies, #one is most stable and the next is 23 meV/atom up.

***

#one
A relaxed structure of ScCd3Ga, computed with PBE.

abc: 5.072 5.072 5.072
angles: 90.00 90.00 90.00
Sites, in units of the cell vectors:
Sc  0.000  0.000  0.000
Cd  0.000  0.500  0.500
Cd  0.500  0.000  0.500
Cd  0.500  0.500  0.000
Ga  0.500  0.500  0.500

Values from the calculation:
**Total moment**: 0.00 Bohr magnetons per cell

***

#two
A relaxed structure of ScCd3Ga, computed with PBE.

abc: 5.607 5.607 5.607
angles: 90.00 90.00 90.00
Sites, in units of the cell vectors:
Sc  0.000  0.000  0.000
Cd  0.000  0.000  0.500
Cd  0.000  0.500  0.000
Cd  0.500  0.000  0.000
Ga  0.500  0.500  0.500

Values from the calculation:
**Total moment**: 0.00 Bohr magnetons per cell

***

Going by the energies, #one is most stable and the next is 331 meV/atom up.

***

#one
A relaxed structure of ZrScCdGa, computed with PBE.

abc: 3.124 3.124 8.313
angles: 90.00 90.00 90.00
Sites, in units of the cell vectors:
Zr  0.000  0.000  0.000
Sc  0.000  0.000  0.463
Cd  0.500  0.500  0.728
Ga  0.500  0.500  0.232

Values from the calculation:
**Total moment**: 0.19 Bohr magnetons per cell

***

#two
A relaxed structure of ZrScCdGa, computed with PBE.

abc: 4.861 4.861 4.861
angles: 60.00 60.00 60.00
Sites, in units of the cell vectors:
Zr  0.000  0.000  0.000
Sc  0.500  0.500  0.500
Cd  0.250  0.250  0.250
Ga  0.750  0.750  0.750

Values from the calculation:
**Total moment**: 0.00 Bohr magnetons per cell

***

Going by the energies, #one is most stable and the next is 49 meV/atom up.

***

#one
A relaxed structure of CdGa2Se, computed with PBE.

abc: 5.073 5.073 5.073
angles: 60.00 60.00 60.00
Sites, in units of the cell vectors:
Cd  0.000  0.000  0.000
Ga  0.250  0.250  0.250
Ga  0.750  0.750  0.750
Se  0.500  0.500  0.500

Values from the calculation:
**Total moment**: 0.00 Bohr magnetons per cell

***

#two
A relaxed structure of CdGa2Se, computed with PBE.

abc: 7.131 7.131 7.131
angles: 126.16 126.16 79.63
Sites, in units of the cell vectors:
Cd  0.000  0.000  0.000
Cd  0.750  0.250  0.500
Ga  0.136  0.625  0.011
Ga  0.375  0.386  0.511
Ga  0.614  0.125  0.989
Ga  0.875  0.864  0.489
Se  0.250  0.750  0.500
Se  0.500  0.500  0.000

Values from the calculation:
**Total moment**: 0.00 Bohr magnetons per cell

***

Going by the energies, #two is most stable and the next is 94 meV/atom up.

***

#one
A relaxed structure of Cd3GaSe, computed with PBE.

abc: 5.140 5.140 5.140
angles: 90.00 90.00 90.00
Sites, in units of the cell vectors:
Cd  0.000  0.000  0.500
Cd  0.000  0.500  0.000
Cd  0.500  0.000  0.000
Ga  0.000  0.000  0.000
Se  0.500  0.500  0.500

Values from the calculation:
**Total moment**: 0.00 Bohr magnetons per cell

***

#two
A relaxed structure of Cd3GaSe, computed with PBE.

abc: 5.430 5.430 5.430
angles: 90.00 90.00 90.00
Sites, in units of the cell vectors:
Cd  0.000  0.000  0.500
Cd  0.000  0.500  0.000
Cd  0.500  0.000  0.000
Ga  0.500  0.500  0.500
Se  0.000  0.000  0.000

Values from the calculation:
**Total moment**: 0.00 Bohr magnetons per cell

***

Going by the energies, #one is most stable and the next is 153 meV/atom up.

***

#one
A relaxed structure of CdGaSe3, computed with PBE.

abc: 5.008 5.008 5.008
angles: 90.00 90.00 90.00
Sites, in units of the cell vectors:
Cd  0.000  0.000  0.000
Ga  0.500  0.500  0.500
Se  0.000  0.500  0.500
Se  0.500  0.000  0.500
Se  0.500  0.500  0.000

Values from the calculation:
**Total moment**: 0.00 Bohr magnetons per cell

***

#two
A relaxed structure of CdGaSe3, computed with PBE.

abc: 5.280 5.280 5.280
angles: 90.00 90.00 90.00
Sites, in units of the cell vectors:
Cd  0.000  0.000  0.000
Ga  0.500  0.500  0.500
Se  0.000  0.000  0.500
Se  0.000  0.500  0.000
Se  0.500  0.000  0.000

Values from the calculation:
**Total moment**: 0.00 Bohr magnetons per cell

***

Going by the energies, #one is most stable and the next is 166 meV/atom up.

***

#one
A relaxed structure of Cd3GaSe4, computed with PBE.

abc: 6.176 6.176 6.176
angles: 90.00 90.00 90.00
Sites, in units of the cell vectors:
Cd  0.000  0.000  0.500
Cd  0.000  0.500  0.000
Cd  0.500  0.000  0.000
Ga  0.500  0.500  0.500
Se  0.257  0.257  0.743
Se  0.257  0.743  0.257
Se  0.743  0.257  0.257
Se  0.743  0.743  0.743

Values from the calculation:
**Total moment**: 0.00 Bohr magnetons per cell

***

#two
A relaxed structure of Cd3GaSe4, computed with PBE.

abc: 8.867 7.530 7.069
angles: 90.00 90.00 90.00
Sites, in units of the cell vectors:
Cd  0.000  0.165  0.000
Cd  0.250  0.332  0.500
Cd  0.250  0.668  0.000
Cd  0.500  0.835  0.500
Cd  0.750  0.332  0.500
Cd  0.750  0.668  0.000
Ga  0.000  0.828  0.503
Ga  0.500  0.172  0.003
Se  0.000  0.155  0.616
Se  0.000  0.829  0.136
Se  0.244  0.674  0.616
Se  0.256  0.326  0.116
Se  0.500  0.171  0.636
Se  0.500  0.845  0.116
Se  0.744  0.326  0.116
Se  0.756  0.674  0.616

Values from the calculation:
**Total moment**: 0.00 Bohr magnetons per cell

***

Going by the energies, #one is most stable and the next is 13 meV/atom up.

***

#one
A relaxed structure of CdGa2Si2, computed with PBE.

abc: 5.833 5.833 5.833
angles: 134.57 134.57 66.20
Sites, in units of the cell vectors:
Cd  0.000  0.000  0.000
Ga  0.250  0.750  0.500
Ga  0.750  0.250  0.500
Si  0.381  0.381  0.000
Si  0.619  0.619  0.000

Values from the calculation:
**Total moment**: 0.00 Bohr magnetons per cell

***

#two
A relaxed structure of CdGa2Si2, computed with PBE.

abc: 8.093 8.093 2.834
angles: 90.00 90.00 90.00
Sites, in units of the cell vectors:
Cd  0.000  0.000  0.000
Cd  0.500  0.500  0.000
Ga  0.145  0.355  0.000
Ga  0.355  0.855  0.000
Ga  0.645  0.145  0.000
Ga  0.855  0.645  0.000
Si  0.150  0.650  0.500
Si  0.350  0.150  0.500
Si  0.650  0.850  0.500
Si  0.850  0.350  0.500

Values from the calculation:
**Total moment**: 0.00 Bohr magnetons per cell

***

#three
A relaxed structure of CdGa2Si2, computed with PBE.

abc: 6.083 6.083 6.083
angles: 138.42 138.42 60.27
Sites, in units of the cell vectors:
Cd  0.000  0.000  0.000
Ga  0.383  0.383  0.000
Ga  0.617  0.617  0.000
Si  0.250  0.750  0.500
Si  0.750  0.250  0.500

Values from the calculation:
**Total moment**: 0.00 Bohr magnetons per cell

***

#four
A relaxed structure of CdGa2Si2, computed with PBE.

abc: 7.424 7.424 3.373
angles: 90.00 90.00 90.00
Sites, in units of the cell vectors:
Cd  0.000  0.000  0.000
Cd  0.500  0.500  0.000
Ga  0.172  0.328  0.500
Ga  0.328  0.828  0.500
Ga  0.672  0.172  0.500
Ga  0.828  0.672  0.500
Si  0.121  0.621  0.000
Si  0.379  0.121  0.000
Si  0.621  0.879  0.000
Si  0.879  0.379  0.000

Values from the calculation:
**Total moment**: 0.00 Bohr magnetons per cell

***

Going by the energies, #one is most stable and the next is 92 meV/atom up.